Entry 1:
The following is a PBE calculation of a geometry-optimized Ba2HgPtC structure, from Alexandria.

Summary:
Electronic total energy, eV per atom: -4.21
Energy relative to the elements, meV per atom: -325

Lattice parameters (Å, degrees): 6.0117 6.0117 3.9112 90.00 90.00 90.00
Last column: nearest neighbours and their distance in Å.
Space group P4/mmm (No. 123)
Symmetry-distinct sites (fractional):
Ba  0.0000  0.5000  0.0000 [2 per cell]  2 C 3.01
Hg  0.0000  0.0000  0.5000 [1 per cell]  8 Ba 3.59, 2 Hg 3.91
Pt  0.5000  0.5000  0.5000 [1 per cell]  2 C 1.96
C  0.5000  0.5000  0.0000 [1 per cell]  2 Pt 1.96

Entry 2:
The following is a PBE calculation of a geometry-optimized Y8IrAu2 structure, from Alexandria.

Summary:
Electronic total energy, eV per atom: -6.56
Energy above the lowest structure with this stoichiometry, eV per atom: 0.062
Energy relative to the elements, meV per atom: -453

Lattice parameters (Å, degrees): 7.0275 17.7667 5.6789 90.00 119.17 90.00
Last column: nearest neighbours and their distance in Å.
Space group Cm (No. 8)
Symmetry-distinct sites (fractional):
Y  0.0000  0.0000  0.0000 [2 per cell]  1 Ir 2.90, 1 Y 3.16
Y  0.0007  0.5000  0.8336 [2 per cell]  1 Ir 2.89, 1 Y 3.16
Y  0.0491  0.1156  0.5476 [4 per cell]  1 Ir 2.76, 2 Au 3.00-3.07
Y  0.2503  0.2991  0.9172 [4 per cell]  2 Au 2.99
Y  0.4538  0.1154  0.2874 [4 per cell]  1 Ir 2.76, 2 Au 3.01-3.07
Ir  0.2519  0.5000  0.4159 [2 per cell]  6 Y 2.76-2.90
Au  0.2516  0.2466  0.4179 [4 per cell]  6 Y 2.99-3.07

Q: electronic total energy of number 2 (Y8IrAu2)?
A: -6.56 eV per atom